Here is an optimized crystal structure of PrDyTh2 from Alexandria via LeMat-Bulk. Energies are from PBE.

abc: 5.7122 5.7122 5.7122
angles: 60.00 60.00 60.00
With the nearest neighbours (Å) after each atom.
Atoms (fractional coordinates):
Pr (0.0000, 0.0000, 0.0000)  8 Th 3.50
Dy (0.5000, 0.5000, 0.5000)  8 Th 3.50
Th (0.2500, 0.2500, 0.2500)  4 Dy 3.50, 4 Pr 3.50
Th (0.7500, 0.7500, 0.7500)  4 Dy 3.50, 4 Pr 3.50

Summary:
Energy relative to the elements = 0.199 eV per atom
Calculated density = 9.67 g/cm³
Spin magnetization = 0.00 μB per cell
ΔE to the lowest computed polymorph = 16.2 kJ per mole of atoms
E = -5.857 eV per atom